Entry from the Alexandria database: a relaxed structure of PtSe2N2 (PBE).

Geometry as POSCAR:
```
PtSe2N2
1.0
-2.4805 0.0820 2.6539
2.6200 -0.5138 2.4647
0.9122 7.6143 0.6174
Pt Se N
1 2 2
direct
0.5000 0.5000 0.5000
0.0000 0.0000 0.0000
0.0000 0.0000 0.5000
0.5000 0.0000 0.0000
0.0000 0.5000 0.0000
```

## Properties
Total magnetization   0.00 μB per atom
Energy above the most stable polymorph in this dataset   1801 meV per atom
Final energy   -4.37 eV/atom

---

Entry from the Alexandria database: a relaxed structure of PtSeN3 (PBE).

Geometry as POSCAR:
```
PtSeN3
1.0
-3.6249 -1.4758 -0.2128
1.4758 -3.4712 -1.0661
0.2129 -1.0660 3.7658
N Pt Se
3 1 1
direct
0.0000 0.5000 0.0000
0.5000 0.0000 0.0000
0.0000 0.0000 0.5000
0.0000 0.0000 0.0000
0.5000 0.5000 0.5000
```

## Properties
Total magnetization   0.00 μB per atom
Final energy   -4.87 eV/atom

---

Entry from the Alexandria database: a relaxed structure of PtSe2N2 (PBE).

Geometry as POSCAR:
```
PtSe2N2
1.0
-1.3917 0.0777 3.4780
1.9549 -3.0811 0.8511
6.7261 4.9803 2.5802
N Se Pt
2 2 1
direct
0.0000 0.5000 0.0000
0.5000 0.0000 0.0000
0.0000 0.0000 0.5000
0.5000 0.5000 0.5000
0.0000 0.0000 0.0000
```

## Properties
Total magnetization   0.00 μB per atom
Energy above the most stable polymorph in this dataset   1321 meV per atom
Final energy   -4.85 eV/atom

---

Entry from the Alexandria database: a relaxed structure of PtSeN2 (PBE).

Geometry as POSCAR:
```
PtSeN2
1.0
2.3199 2.4425 5.4097
4.7327 2.6594 3.3379
2.4259 4.8592 3.3339
Pt N Se
1 2 1
direct
0.5000 0.5000 0.5000
0.8874 0.8874 0.8874
0.1126 0.1126 0.1126
0.0000 0.0000 0.0000
```

## Properties
Total magnetization   0.00 μB per atom
Final energy   -5.67 eV/atom

---

Entry from the Alexandria database: a relaxed structure of PtSe3N (PBE).

Geometry as POSCAR:
```
PtSe3N
1.0
4.9274 0.0000 0.0000
0.0000 4.9274 0.0000
0.0000 0.0000 4.9274
Se Pt N
3 1 1
direct
0.5000 0.0000 0.0000
0.0000 0.5000 0.0000
0.0000 0.0000 0.5000
0.0000 0.0000 0.0000
0.5000 0.5000 0.5000
```

## Properties
Total magnetization   0.00 μB per atom
Energy above the most stable polymorph in this dataset   633 meV per atom
Final energy   -3.21 eV/atom

---

Entry from the Alexandria database: a relaxed structure of PtSe3N (PBE).

Geometry as POSCAR:
```
PtSe3N
1.0
4.3619 0.0000 0.0000
0.0000 4.3619 0.0000
0.0000 0.0000 4.3619
Pt Se N
1 3 1
direct
0.5000 0.5000 0.5000
0.0000 0.5000 0.0000
0.0000 0.0000 0.5000
0.5000 0.0000 0.0000
0.0000 0.0000 0.0000
```

## Properties
Total magnetization   0.00 μB per atom
Energy above the most stable polymorph in this dataset   0 meV per atom
Final energy   -3.85 eV/atom

---

Entry from the Alexandria database: a relaxed structure of SiPtSe2N (PBE).

Geometry as POSCAR:
```
SiPtSe2N
1.0
5.0727 0.0000 0.0000
0.0000 5.0727 0.0000
0.0000 0.0000 3.2009
Pt N Si Se
1 1 1 2
direct
0.5000 0.5000 0.5000
0.0000 0.0000 0.5000
0.0000 0.0000 0.0000
0.0000 0.5000 0.0000
0.5000 0.0000 0.0000
```

## Properties
Total magnetization   0.00 μB per atom
Energy above the most stable polymorph in this dataset   0 meV per atom
Final energy   -4.96 eV/atom

---

Entry from the Alexandria database: a relaxed structure of SiPtSe2N (PBE).

Geometry as POSCAR:
```
SiPtSe2N
1.0
-1.4023 4.8558 1.3302
-4.1555 -0.3367 -3.1517
-1.9973 -1.3373 2.7763
Si Se Pt N
1 2 1 1
direct
0.5000 0.5000 0.5000
0.0000 0.5000 0.0000
0.5000 0.0000 0.0000
0.0000 0.0000 0.0000
0.0000 0.0000 0.5000
```

## Properties
Total magnetization   0.00 μB per atom
Energy above the most stable polymorph in this dataset   333 meV per atom
Final energy   -4.63 eV/atom

---

Entry from the Alexandria database: a relaxed structure of SnPtSe2N (PBE).

Geometry as POSCAR:
```
SnPtSe2N
1.0
-3.7352 1.2563 3.5793
2.0465 -3.5622 3.3859
2.3093 2.7123 1.4578
Sn Pt Se N
1 1 2 1
direct
0.0000 0.0000 0.0000
0.5000 0.5000 0.5000
0.5000 0.0000 0.0000
0.0000 0.5000 0.0000
0.0000 0.0000 0.5000
```

## Properties
Total magnetization   0.00 μB per atom
Energy above the most stable polymorph in this dataset   890 meV per atom
Final energy   -3.85 eV/atom

---

Entry from the Alexandria database: a relaxed structure of SnPtSe2N (PBE).

Geometry as POSCAR:
```
SnPtSe2N
1.0
-0.1905 -5.0396 -1.7178
3.8452 1.0587 -3.5324
2.5653 -0.9516 2.5073
Se N Pt Sn
2 1 1 1
direct
0.5000 0.0000 0.0000
0.0000 0.5000 0.0000
0.0000 0.0000 0.5000
0.0000 0.0000 0.0000
0.5000 0.5000 0.5000
```

## Properties
Total magnetization   0.00 μB per atom
Energy above the most stable polymorph in this dataset   0 meV per atom
Final energy   -4.74 eV/atom

---

Entry from the Alexandria database: a relaxed structure of SrPtSeN2 (PBE).

Geometry as POSCAR:
```
SrPtSeN2
1.0
4.6292 0.0000 0.0000
0.0000 4.6292 0.0000
0.0000 0.0000 6.2312
N Sr Se Pt
2 1 1 1
direct
0.0000 0.5000 0.0000
0.5000 0.0000 0.0000
0.0000 0.0000 0.0000
0.0000 0.0000 0.5000
0.5000 0.5000 0.5000
```

## Properties
Total magnetization   1.03 μB per atom
Energy above the most stable polymorph in this dataset   1485 meV per atom
Final energy   -3.69 eV/atom

---

Entry from the Alexandria database: a relaxed structure of SrPtSeN2 (PBE).

Geometry as POSCAR:
```
SrPtSeN2
1.0
-3.8434 0.0857 1.5417
1.0979 -2.7562 2.8904
1.4033 3.9949 3.2764
Pt Sr N Se
1 1 2 1
direct
0.0000 0.0000 0.0000
0.5000 0.5000 0.5000
0.5000 0.0000 0.0000
0.0000 0.5000 0.0000
0.0000 0.0000 0.5000
```

## Properties
Total magnetization   0.59 μB per atom
Energy above the most stable polymorph in this dataset   0 meV per atom
Final energy   -5.17 eV/atom

---

Entry from the Alexandria database: a relaxed structure of SrPtSe2N (PBE).

Geometry as POSCAR:
```
SrPtSe2N
1.0
5.6728 0.0000 0.0000
0.0000 5.6728 0.0000
0.0000 0.0000 4.2913
Sr Pt Se N
1 1 2 1
direct
0.0000 0.0000 0.0000
0.5000 0.5000 0.5000
0.5000 0.0000 0.0000
0.0000 0.5000 0.0000
0.0000 0.0000 0.5000
```

## Properties
Total magnetization   0.00 μB per atom
Energy above the most stable polymorph in this dataset   1863 meV per atom
Final energy   -3.10 eV/atom

---

Entry from the Alexandria database: a relaxed structure of SrPtSe2N (PBE).

Geometry as POSCAR:
```
SrPtSe2N
1.0
-0.2716 0.0837 -5.3827
5.1446 -1.5833 -0.2842
-1.1045 -3.5887 -0.0001
N Se Pt Sr
1 2 1 1
direct
0.0000 0.0000 0.5000
0.5000 0.0000 0.0000
0.0000 0.5000 0.0000
0.0000 0.0000 0.0000
0.5000 0.5000 0.5000
```

## Properties
Total magnetization   0.00 μB per atom
Energy above the most stable polymorph in this dataset   0 meV per atom
Final energy   -4.96 eV/atom

---

Entry from the Alexandria database: a relaxed structure of Sr2PtSeN (PBE).

Geometry as POSCAR:
```
Sr2PtSeN
1.0
-1.7890 1.4334 -4.9267
4.8403 -1.2599 -2.1242
-1.2134 -3.6257 -0.6143
Se Sr Pt N
1 2 1 1
direct
0.5000 0.5000 0.5000
0.0000 0.5000 0.0000
0.5000 0.0000 0.0000
0.0000 0.0000 0.5000
0.0000 0.0000 0.0000
```

## Properties
Total magnetization   0.00 μB per atom
Final energy   -5.38 eV/atom